Entry 1:
DFT (PBE-GGA) results for crystalline Nd5Ga2Bi at its relaxed geometry.

```
Nd5Ga2Bi
1.0
-4.247 4.247 6.636
4.247 -4.247 6.636
4.247 4.247 -6.636
Nd Ga Bi
10 4 2
Direct
0.000 0.000 0.000
0.013 0.513 0.810
0.203 0.013 0.500
0.297 0.797 0.810
0.487 0.297 0.500
0.500 0.500 0.000
0.513 0.703 0.500
0.703 0.203 0.190
0.797 0.987 0.500
0.987 0.487 0.190
0.146 0.354 0.500
0.354 0.854 0.207
0.646 0.146 0.793
0.854 0.646 0.500
0.250 0.250 0.000
0.750 0.750 0.000
```

Values from the calculation:
ΔH_f (0 K)	-0.56	eV/atom
DOS at the Fermi energy	14.9	states/eV per cell
space group	I4/mcm, No. 140

---

Entry 2:
DFT (PBE-GGA) results for crystalline Nd6GaBi2 at its relaxed geometry.

```
Nd6GaBi2
1.0
8.666 0.000 0.000
-4.333 7.505 0.000
0.000 0.000 4.443
Nd Ga Bi
6 1 2
Direct
0.000 0.242 0.000
0.000 0.592 0.500
0.242 0.000 0.000
0.408 0.408 0.500
0.592 0.000 0.500
0.758 0.758 0.000
0.000 0.000 0.500
0.333 0.667 0.000
0.667 0.333 0.000
```

Values from the calculation:
ΔH_f (0 K)	-0.57	eV/atom
DOS at the Fermi energy	10.1	states/eV per cell
space group	P-62m, No. 189

---

Entry 3:
DFT (PBE-GGA) results for crystalline Nd5GaBi3 at its relaxed geometry.

```
Nd5GaBi3
1.0
9.725 0.000 0.000
-4.863 8.422 0.000
0.000 0.000 6.598
Nd Ga Bi
10 2 6
Direct
0.000 0.258 0.250
0.000 0.742 0.750
0.258 0.000 0.250
0.258 0.258 0.750
0.333 0.667 0.000
0.333 0.667 0.500
0.667 0.333 0.000
0.667 0.333 0.500
0.742 0.000 0.750
0.742 0.742 0.250
0.000 0.000 0.000
0.000 0.000 0.500
0.000 0.385 0.750
0.000 0.615 0.250
0.385 0.000 0.750
0.385 0.385 0.250
0.615 0.000 0.250
0.615 0.615 0.750
```

Values from the calculation:
ΔH_f (0 K)	-0.80	eV/atom
DOS at the Fermi energy	13.0	states/eV per cell
space group	P6_3/mcm, No. 193

---

Entry 4:
DFT (PBE-GGA) results for crystalline Nd6Ga2Bi at its relaxed geometry.

```
Nd6Ga2Bi
1.0
-4.912 5.083 5.551
4.912 -5.083 5.551
4.912 5.083 -5.551
Nd Ga Bi
12 4 2
Direct
0.024 0.231 0.793
0.189 0.284 0.472
0.189 0.716 0.905
0.322 0.027 0.705
0.322 0.617 0.295
0.438 0.231 0.207
0.562 0.769 0.793
0.678 0.383 0.705
0.678 0.973 0.295
0.811 0.284 0.095
0.811 0.716 0.528
0.976 0.769 0.207
0.118 0.618 0.500
0.369 0.000 0.369
0.631 0.000 0.631
0.882 0.382 0.500
0.000 0.000 0.000
0.500 0.500 0.000
```

Values from the calculation:
ΔH_f (0 K)	-0.45	eV/atom
DOS at the Fermi energy	19.2	states/eV per cell
space group	Immm, No. 71

---

The highest ΔH_f (0 K) belongs to which entry?
Nd6Ga2Bi

---

Which of these has the lowest ΔH_f (0 K)?
Nd5GaBi3

---

What is the ΔH_f (0 K) in the fourth record?
-0.45 eV/atom